# 1
Ba2TcPb | Alexandria via LeMat-Bulk | GGA-PBE | relaxed; volume = 142.8 Å³/f.u.; crystal system = tetragonal; calculated formation energy = 541 meV per atom; calculated total energy = -3.94 eV/atom; N(E_F) = 5.2 states/eV per cell
1.0
5.9674 0.0000 0.0000
0.0000 5.9674 0.0000
0.0000 0.0000 4.0093
Pb Tc Ba
1 1 2
Cartesian
2.9837 0.0000 2.0046
0.0000 2.9837 2.0046
2.9837 2.9837 0.0000
0.0000 0.0000 0.0000

# 2
BaTcPb2 | Alexandria via LeMat-Bulk | GGA-PBE | relaxed; energy relative to the lowest polymorph listed for this composition = 0.0 meV/atom; volume = 106.3 Å³/f.u.; crystal system = tetragonal; calculated formation energy = 178 meV per atom; calculated total energy = -4.75 eV/atom; N(E_F) = 2.9 states/eV per cell
1.0
-2.7519 -0.9965 -2.0432
0.6168 -3.4151 0.8348
-5.1165 0.6794 6.5598
Pb Tc Ba
2 1 1
Cartesian
-0.3134 0.0416 0.4018
-2.2449 0.2981 2.8781
-2.3466 -2.0360 1.0357
-4.9049 -1.6963 4.3156

# 3
BaTcPb | Alexandria via LeMat-Bulk | GGA-PBE | relaxed; energy relative to the lowest polymorph listed for this composition = 186.2 meV/atom; volume = 90.0 Å³/f.u.; crystal system = trigonal; calculated formation energy = 646 meV per atom; calculated total energy = -4.69 eV/atom; N(E_F) = 1.7 states/eV per cell
1.0
3.9492 0.0000 0.0000
-1.9746 3.4201 0.0000
0.0000 0.0000 6.6640
Tc Pb Ba
1 1 1
Cartesian
0.0000 2.2800 4.2158
1.9746 1.1400 2.6785
0.0000 0.0000 6.4337

# 4
BaTcPb2 | Alexandria via LeMat-Bulk | GGA-PBE | relaxed; energy relative to the lowest polymorph listed for this composition = 105.7 meV/atom; volume = 118.8 Å³/f.u.; crystal system = orthorhombic; calculated formation energy = 284 meV per atom; calculated total energy = -4.64 eV/atom; N(E_F) = 3.5 states/eV per cell
1.0
-6.5107 4.8041 0.2178
-7.3053 0.5184 -3.4467
5.9451 -3.6497 4.1050
Pb Ba Tc
2 1 1
Cartesian
-2.5792 1.4619 1.6247
-0.0124 0.0048 -0.0029
-5.0319 0.1108 -0.6879
-7.1553 2.7565 -1.6722

# 5
BaTcPb | Alexandria via LeMat-Bulk | GGA-PBE | relaxed; energy relative to the lowest polymorph listed for this composition = 979.4 meV/atom; volume = 113.2 Å³/f.u.; crystal system = cubic; calculated formation energy = 1439 meV per atom; calculated total energy = -3.89 eV/atom; N(E_F) = 5.1 states/eV per cell
1.0
-0.7660 3.0759 -4.4090
-4.9488 0.4116 -2.1971
-2.7631 4.6586 0.3861
Pb Ba Tc
1 1 1
Cartesian
0.0000 0.0000 0.0000
-6.3584 6.1096 -4.6649
-4.2389 4.0730 -3.1100

# 6
BaTcPb | Alexandria via LeMat-Bulk | GGA-PBE | relaxed; energy relative to the lowest polymorph listed for this composition = 0.0 meV/atom; volume = 84.6 Å³/f.u.; crystal system = tetragonal; calculated formation energy = 459 meV per atom; calculated total energy = -4.87 eV/atom; N(E_F) = 2.8 states/eV per cell
1.0
-0.2385 5.6271 3.6878
-2.4889 6.2014 0.8185
-2.9256 -0.3684 2.2207
Tc Ba Pb
1 1 1
Cartesian
-2.7863 8.2047 3.8272
-2.9238 -0.2707 2.2390
-2.8684 3.1576 2.8814